(1)
This record from the Alexandria database describes Hg2PBr after structural relaxation. The functional is PBE.

The structure belongs to space group Cmm2 (No. 35); the cell edges are 3.7503, 6.6082 and 8.4735 Å and the angles 90.00°, 90.00° and 90.00°. The asymmetric unit holds Hg at (0.0000, 0.0000, 0.0000), Hg at (0.0000, 0.5000, 0.2737), P at (0.0000, 0.0000, 0.4878) and Br at (0.0000, 0.5000, 0.7181).

Its crystal system is orthorhombic. The calculation puts the formation energy from raw total energies at 1.5 eV/f.u. The relative energy among the computed polymorphs comes out at 570 meV/atom. Its total DFT energy (no corrections) is -12.4 eV per cell. Its size of the total moment is 0.000 μB per atom.



(2)
This record from the Alexandria database describes Sm2Pd8Au3 after structural relaxation. The functional is PBE.

The structure belongs to space group C2/m (No. 12); the cell edges are 13.8640, 7.0290 and 5.0184 Å and the angles 90.00°, 90.11° and 90.00°. The asymmetric unit holds Sm at (0.1606, 0.0000, 0.2966), Pd at (0.0528, 0.0000, 0.7812), Pd at (0.1700, 0.2988, 0.8319), Pd at (0.1869, 0.5000, 0.3119), Au at (0.0000, 0.3087, 0.5000) and Au at (0.0000, 0.5000, 0.0000).

Its crystal system is monoclinic. Its total DFT energy (no corrections) is -131.5 eV per cell. Its size of the total moment is 0.000 μB per atom. As for the energy of formation: -0.3787 eV per atom.



(3)
This record from the Alexandria database describes Tb4InGa2 after structural relaxation. The functional is PBE.

The structure belongs to space group R-3m (No. 166, hexagonal axes); the cell edges are 5.0470, 5.0470 and 26.9691 Å and the angles 90.00°, 90.00° and 120.00°. The asymmetric unit holds Tb at (0.0000, 0.0000, 0.1183), Tb at (0.0000, 0.0000, 0.2941), In at (0.0000, 0.0000, 0.5000) and Ga at (0.0000, 0.0000, 0.4010).

Its crystal system is trigonal. The relative energy among the computed polymorphs comes out at 114 meV/atom. Its total DFT energy (no corrections) is -87.9 eV per cell. Its size of the total moment is 0.000 μB per atom. As for the energy of formation: -0.2830 eV per atom.